Record 1
Material: LiMgIn
Method: DFT, PBE-GGA
State: optimized geometry

The space group is I4mm (No. 107) and the conventional cell measures 3.266, 3.266 and 11.926 Å, with angles of 90.00, 90.00 and 90.00 degrees. The asymmetric unit holds Li at (0.000, 0.000, 0.000), Mg at (0.000, 0.000, 0.334) and In at (0.000, 0.000, 0.652).

The calculation puts the energy at -13.350 eV/cell. The offset from the most stable computed form comes out at 0.038 eV/atom. As for the energy relative to the elements: -143 meV/atom.

=====

Record 2
Material: LiClF
Method: DFT, PBE-GGA
State: optimized geometry

The space group is P-6m2 (No. 187) and the conventional cell measures 3.0337, 3.0337 and 6.8191 Å, with angles of 90.00, 90.00 and 120.00 degrees. The asymmetric unit holds Li at (0.0000, 0.0000, 0.0000), Cl at (0.3333, 0.6667, 0.5000) and F at (0.6667, 0.3333, 0.0000).

The calculation puts the energy at -10.441 eV/cell. The calculation puts the formation energy (no corrections) at -1603 meV per atom. The offset from the most stable computed form comes out at 0.291 eV/atom.

=====

Record 3
Material: AsPtPb2
Method: DFT, PBE-GGA
State: optimized geometry

The space group is P4/mmm (No. 123) and the conventional cell measures 4.844, 4.844 and 3.988 Å, with angles of 90.00, 90.00 and 90.00 degrees. The asymmetric unit holds As at (0.000, 0.000, 0.000), Pt at (0.500, 0.500, 0.000) and Pb at (0.000, 0.500, 0.500).

The calculation puts the energy at -17.592 eV/cell. As for the energy relative to the elements: 129 meV/atom.

=====

Record 4
Material: Pr3PbSe6
Method: DFT, PBE-GGA
State: optimized geometry

The space group is Cmc2_1 (No. 36) and the conventional cell measures 11.581, 14.556 and 7.274 Å, with angles of 90.00, 90.00 and 90.00 degrees. The asymmetric unit holds Pr at (0.000, 0.095, 0.000), Pr at (0.186, 0.403, 0.093), Pb at (0.000, 0.302, 0.622), Se at (0.000, 0.277, 0.226), Se at (0.000, 0.476, 0.808), Se at (0.162, 0.032, 0.295) and Se at (0.179, 0.229, 0.836).

The calculation puts the energy at -214.135 eV/cell. The calculation puts the formation energy (no corrections) at -1458 meV per atom.